Below is CsAs2Pt2 after structural relaxation, with properties calculated at the GGA-PBE level.

Calculated values
**Size of the total moment**: 0.00 μB/f.u.
**Calculated formation energy**: -0.46 eV/atom
**DFT total energy**: -4.904 eV per atom

Unit cell a=6.6859 b=6.6861 c=7.2107 alpha=106.71 beta=104.55 gamma=114.72
Space group P-1 (No. 2)
Unique sites:
1 Cs 0.1284 0.3784 0.2495
2 As 0.2648 0.3065 0.7819
3 As 0.4770 0.0183 0.2828
4 Pt 0.1817 0.9789 0.4430
5 Pt 0.4639 0.7615 0.9439

***

Below is Cs6As2Pt after structural relaxation, with properties calculated at the GGA-PBE level.

Calculated values
**Size of the total moment**: 0.13 μB/f.u.
**Calculated formation energy**: -0.24 eV/atom
**DFT total energy**: -2.514 eV per atom

Unit cell a=6.3914 b=6.3914 c=33.3889 alpha=90.00 beta=90.00 gamma=120.00
Space group R-3m (No. 166, hexagonal axes)
Unique sites:
1 Cs 0.0000 0.0000 0.0824
2 Cs 0.0000 0.0000 0.1978
3 Cs 0.0000 0.0000 0.3164
4 As 0.0000 0.0000 0.4257
5 Pt 0.0000 0.0000 0.5000

***

Below is Cs2As4Pt3 after structural relaxation, with properties calculated at the GGA-PBE level.

Calculated values
**Size of the total moment**: 0.00 μB/f.u.
**Calculated formation energy**: -0.40 eV/atom
**DFT total energy**: -4.666 eV per atom

Unit cell a=6.2461 b=10.5009 c=16.5625 alpha=90.00 beta=90.00 gamma=90.00
Space group Fmmm (No. 69)
Unique sites:
1 Cs 0.0000 0.0000 0.1610
2 As 0.0000 0.1680 0.3938
3 Pt 0.0000 0.0000 0.5000
4 Pt 0.2500 0.2500 0.0000

***

Below is Cs2RbAs2Pt after structural relaxation, with properties calculated at the GGA-PBE level.

Calculated values
**Size of the total moment**: 0.00 μB/f.u.
**Calculated formation energy**: -0.34 eV/atom
**DFT total energy**: -3.342 eV per atom

Unit cell a=8.7373 b=14.8136 c=7.5583 alpha=90.00 beta=90.00 gamma=90.00
Space group Ibam (No. 72)
Unique sites:
1 Cs 0.1650 0.1919 0.0000
2 Rb 0.0000 0.5000 0.2500
3 As 0.1723 0.0489 0.5000
4 Pt 0.0000 0.0000 0.2500

***

Below is CsRb2As2Pt after structural relaxation, with properties calculated at the GGA-PBE level.

Calculated values
**Size of the total moment**: 0.00 μB/f.u.
**Calculated formation energy**: -0.34 eV/atom
**DFT total energy**: -3.361 eV per atom

Unit cell a=8.4512 b=13.6490 c=8.3105 alpha=90.00 beta=90.00 gamma=90.00
Space group Ibam (No. 72)
Unique sites:
1 Cs 0.0000 0.0000 0.2500
2 Rb 0.1495 0.2941 0.0000
3 As 0.1564 0.4586 0.5000
4 Pt 0.0000 0.5000 0.2500

***

Below is Cs2RbAsPt after structural relaxation, with properties calculated at the GGA-PBE level.

Calculated values
**Size of the total moment**: 0.00 μB/f.u.
**Relative energy among the computed polymorphs**: 0 meV/atom
**Calculated formation energy**: -0.16 eV/atom
**DFT total energy**: -2.837 eV per atom

Unit cell a=7.2108 b=7.2108 c=4.7041 alpha=90.00 beta=90.00 gamma=90.00
Space group P4/mmm (No. 123)
Unique sites:
1 Cs 0.0000 0.5000 0.0000
2 Rb 0.0000 0.0000 0.5000
3 As 0.5000 0.5000 0.5000
4 Pt 0.5000 0.5000 0.0000

***

Below is CsAs2PtSe after structural relaxation, with properties calculated at the GGA-PBE level.

Calculated values
**Size of the total moment**: 0.00 μB/f.u.
**Relative energy among the computed polymorphs**: 0 meV/atom
**Uncorrected formation energy**: 0.064 eV/atom
**DFT total energy**: -3.871 eV per atom

Unit cell a=4.9648 b=4.9648 c=5.6897 alpha=90.00 beta=90.00 gamma=90.00
Space group P4/mmm (No. 123)
Unique sites:
1 Cs 0.0000 0.0000 0.0000
2 As 0.0000 0.5000 0.5000
3 Pt 0.5000 0.5000 0.5000
4 Se 0.5000 0.5000 0.0000

***

Below is Cs2AsPtSe4 after structural relaxation, with properties calculated at the GGA-PBE level.

Calculated values
**Size of the total moment**: 0.80 μB/f.u.
**Uncorrected formation energy**: -0.536 eV/atom
**DFT total energy**: -3.828 eV per atom

Unit cell a=7.1966 b=17.1993 c=22.6974 alpha=90.00 beta=90.00 gamma=90.00
Space group Fddd (No. 70, origin choice 2)
Unique sites:
1 Cs 0.1250 0.1250 0.2801
2 As 0.1250 0.1250 0.6250
3 Pt 0.1250 0.1250 0.1250
4 Se 0.1189 0.2773 0.3916

***

Below is CsAs2PtSe after structural relaxation, with properties calculated at the GGA-PBE level.

Calculated values
**Size of the total moment**: 0.28 μB/f.u.
**Relative energy among the computed polymorphs**: 2076 meV/atom
**Uncorrected formation energy**: 2.140 eV/atom
**DFT total energy**: -1.796 eV per atom

Unit cell a=5.7351 b=5.7351 c=5.4292 alpha=90.00 beta=90.00 gamma=90.00
Space group P4/mmm (No. 123)
Unique sites:
1 Cs 0.0000 0.0000 0.0000
2 As 0.0000 0.5000 0.0000
3 Pt 0.5000 0.5000 0.5000
4 Se 0.0000 0.0000 0.5000

***

Below is CsSnAsPt2 after structural relaxation, with properties calculated at the GGA-PBE level.

Calculated values
**Size of the total moment**: 0.00 μB/f.u.
**Relative energy among the computed polymorphs**: 0 meV/atom
**Calculated formation energy**: 0.22 eV/atom
**DFT total energy**: -4.094 eV per atom

Unit cell a=4.9465 b=4.9465 c=5.5129 alpha=90.00 beta=90.00 gamma=90.00
Space group P4/mmm (No. 123)
Unique sites:
1 Cs 0.0000 0.0000 0.0000
2 Sn 0.5000 0.5000 0.0000
3 As 0.5000 0.5000 0.5000
4 Pt 0.0000 0.5000 0.5000

***

Below is CsSnAsPt2 after structural relaxation, with properties calculated at the GGA-PBE level.

Calculated values
**Size of the total moment**: 0.00 μB/f.u.
**Relative energy among the computed polymorphs**: 1476 meV/atom
**Calculated formation energy**: 1.70 eV/atom
**DFT total energy**: -2.617 eV per atom

Unit cell a=5.1989 b=5.1989 c=5.7020 alpha=90.00 beta=90.00 gamma=90.00
Space group P4/mmm (No. 123)
Unique sites:
1 Cs 0.0000 0.0000 0.0000
2 Sn 0.5000 0.5000 0.5000
3 As 0.0000 0.0000 0.5000
4 Pt 0.0000 0.5000 0.0000

***

Below is CsTeAsPt2 after structural relaxation, with properties calculated at the GGA-PBE level.

Calculated values
**Size of the total moment**: 3.18 μB/f.u.
**Uncorrected formation energy**: 0.714 eV/atom
**DFT total energy**: -3.432 eV per atom

Unit cell a=5.0539 b=5.0539 c=7.3461 alpha=90.00 beta=90.00 gamma=90.00
Space group P4/mmm (No. 123)
Unique sites:
1 Cs 0.0000 0.0000 0.0000
2 Te 0.0000 0.0000 0.5000
3 As 0.5000 0.5000 0.0000
4 Pt 0.0000 0.5000 0.5000

***

Below is CsTlAs2Pt4 after structural relaxation, with properties calculated at the GGA-PBE level.

Calculated values
**Size of the total moment**: 0.00 μB/f.u.
**Calculated formation energy**: -0.34 eV/atom
**DFT total energy**: -4.921 eV per atom

Unit cell a=4.0442 b=4.0442 c=11.7649 alpha=90.00 beta=90.00 gamma=90.00
Space group P4/mmm (No. 123)
Unique sites:
1 Cs 0.0000 0.0000 0.0000
2 Tl 0.0000 0.0000 0.5000
3 As 0.5000 0.5000 0.1989
4 Pt 0.0000 0.5000 0.3163

***

Below is CsTlAsPt2 after structural relaxation, with properties calculated at the GGA-PBE level.

Calculated values
**Size of the total moment**: 0.00 μB/f.u.
**Calculated formation energy**: 0.29 eV/atom
**DFT total energy**: -3.705 eV per atom

Unit cell a=4.8445 b=4.8445 c=6.3349 alpha=90.00 beta=90.00 gamma=90.00
Space group P4/mmm (No. 123)
Unique sites:
1 Cs 0.0000 0.0000 0.0000
2 Tl 0.5000 0.5000 0.0000
3 As 0.0000 0.0000 0.5000
4 Pt 0.0000 0.5000 0.5000

***

Below is CsYAs2Pt4 after structural relaxation, with properties calculated at the GGA-PBE level.

Calculated values
**Size of the total moment**: 0.00 μB/f.u.
**Calculated formation energy**: -0.65 eV/atom
**DFT total energy**: -5.751 eV per atom

Unit cell a=4.0684 b=4.0684 c=11.7313 alpha=90.00 beta=90.00 gamma=90.00
Space group P4/mmm (No. 123)
Unique sites:
1 Cs 0.0000 0.0000 0.0000
2 Y 0.0000 0.0000 0.5000
3 As 0.5000 0.5000 0.1996
4 Pt 0.0000 0.5000 0.3185

***

Below is CsPuAs2 after structural relaxation, with properties calculated at the GGA-PBE level.

Calculated values
**Size of the total moment**: 5.11 μB/f.u.
**Calculated formation energy**: -0.62 eV/atom
**DFT total energy**: -6.737 eV per atom

Unit cell a=3.9685 b=3.9685 c=7.5921 alpha=90.00 beta=90.00 gamma=90.00
Space group P4/mmm (No. 123)
Unique sites:
1 Cs 0.0000 0.0000 0.0000
2 Pu 0.0000 0.0000 0.5000
3 As 0.5000 0.5000 0.3357

***

Below is Cs2PuAs2Se6 after structural relaxation, with properties calculated at the GGA-PBE level.

Calculated values
**Size of the total moment**: 1.99 μB/f.u.
**Uncorrected formation energy**: -0.672 eV/atom
**DFT total energy**: -4.876 eV per atom

Unit cell a=16.1771 b=7.3553 c=7.5608 alpha=90.00 beta=112.79 gamma=90.00
Space group C2/m (No. 12)
Unique sites:
1 Cs 0.2457 0.0000 0.2315
2 Pu 0.0000 0.5000 0.0000
3 As 0.0331 0.0000 0.3750
4 Se 0.0648 0.2380 0.8124
5 Se 0.1663 0.5000 0.2390

***

Below is CsRbAs2 after structural relaxation, with properties calculated at the GGA-PBE level.

Calculated values
**Size of the total moment**: 0.00 μB/f.u.
**Relative energy among the computed polymorphs**: 0 meV/atom
**Calculated formation energy**: -0.39 eV/atom
**DFT total energy**: -3.175 eV per atom

Unit cell a=4.4627 b=6.9270 c=10.1084 alpha=90.00 beta=90.00 gamma=90.00
Space group Pmc2_1 (No. 26)
Unique sites:
1 Cs 0.0000 0.1500 0.0000
2 Rb 0.5000 0.3528 0.6400
3 As 0.0000 0.3421 0.3476
4 As 0.5000 0.1775 0.2994

***

Below is CsRbAs3 after structural relaxation, with properties calculated at the GGA-PBE level.

Calculated values
**Size of the total moment**: 0.00 μB/f.u.
**Relative energy among the computed polymorphs**: 0 meV/atom
**Calculated formation energy**: 1.00 eV/atom
**DFT total energy**: -2.149 eV per atom

Unit cell a=5.9568 b=5.9568 c=5.9568 alpha=90.00 beta=90.00 gamma=90.00
Space group Pm-3m (No. 221)
Unique sites:
1 Cs 0.0000 0.0000 0.0000
2 Rb 0.5000 0.5000 0.5000
3 As 0.0000 0.5000 0.5000

***

Below is Cs2RbAs after structural relaxation, with properties calculated at the GGA-PBE level.

Calculated values
**Size of the total moment**: 0.00 μB/f.u.
**Calculated formation energy**: -0.22 eV/atom
**DFT total energy**: -2.048 eV per atom

Unit cell a=12.1716 b=8.5435 c=10.5527 alpha=90.00 beta=115.37 gamma=90.00
Space group P2_1/c (No. 14)
Unique sites:
1 Cs 0.1914 0.2498 0.0989
2 Cs 0.2329 0.6822 0.3682
3 Rb 0.5003 0.9998 0.3047
4 As 0.4394 0.1345 0.9701